A geometry-optimized SrHgAu structure, computed with GGA-PBEsol.

abc: 4.9469 4.9469 4.9469
angles: 60.00 60.00 60.00
Atoms (fractional coordinates):
Sr  0.0000  0.0000  0.0000
Hg  0.5000  0.5000  0.5000
Au  0.7500  0.7500  0.7500

Density of states at the Fermi level (states/eV per atom): 0.425
DFT formation energy (meV per atom): -517
Calculated volume (Å³ per cell): 86